Record 1
This record from the Alexandria database describes LiCuHIr2 after structural relaxation. The functional is PBE.

- N(E_F) (states/eV/cell) = 4.8
- energy (eV per atom) = -5.362

a b c (Å): 3.821 3.821 3.834
angles (deg): 90.00 90.00 90.00
Space group P4/mmm (No. 123)
Asymmetric unit:
Li (0.000, 0.000, 0.000)
Cu (0.500, 0.500, 0.000)
H (0.000, 0.000, 0.500)
Ir (0.000, 0.500, 0.500)

=====

Record 2
This record from the Alexandria database describes MgCu2H4Ir after structural relaxation. The functional is PBE.

- N(E_F) (states/eV/cell) = 1.7
- energy (eV per atom) = -4.027

a b c (Å): 4.191 4.191 8.248
angles (deg): 90.00 90.00 90.00
Space group I-42m (No. 121)
Asymmetric unit:
Mg (0.000, 0.000, 0.000)
Cu (0.000, 0.500, 0.250)
H (0.209, 0.209, 0.645)
Ir (0.000, 0.000, 0.500)

=====

Record 3
This record from the Alexandria database describes MgCuHIr2 after structural relaxation. The functional is PBE.

- energy relative to the lowest polymorph listed for this composition (eV/f.u.) = 0.00
- N(E_F) (states/eV/cell) = 4.9

a b c (Å): 3.943 3.943 3.882
angles (deg): 90.00 90.00 90.00
Space group P4/mmm (No. 123)
Asymmetric unit:
Mg (0.000, 0.000, 0.000)
Cu (0.500, 0.500, 0.000)
H (0.500, 0.500, 0.500)
Ir (0.000, 0.500, 0.500)

=====

Record 4
This record from the Alexandria database describes Mg2CuHIr after structural relaxation. The functional is PBE.

- energy relative to the lowest polymorph listed for this composition (eV/f.u.) = 0.00
- N(E_F) (states/eV/cell) = 1.5

a b c (Å): 4.351 4.351 3.485
angles (deg): 90.00 90.00 90.00
Space group P4/mmm (No. 123)
Asymmetric unit:
Mg (0.000, 0.500, 0.000)
Cu (0.000, 0.000, 0.500)
H (0.500, 0.500, 0.000)
Ir (0.500, 0.500, 0.500)

=====

Record 5
This record from the Alexandria database describes Mg2CuHIr after structural relaxation. The functional is PBE.

- energy relative to the lowest polymorph listed for this composition (eV/f.u.) = 0.16
- N(E_F) (states/eV/cell) = 0.8

a b c (Å): 4.337 4.337 3.360
angles (deg): 90.00 90.00 90.00
Space group P4/mmm (No. 123)
Asymmetric unit:
Mg (0.000, 0.500, 0.000)
Cu (0.000, 0.000, 0.500)
H (0.000, 0.000, 0.000)
Ir (0.500, 0.500, 0.500)

=====

Record 6
This record from the Alexandria database describes MgCuH6Ir2 after structural relaxation. The functional is PBE.

- N(E_F) (states/eV/cell) = 6.9
- energy (eV per atom) = -4.382

a b c (Å): 7.550 8.786 5.294
angles (deg): 90.00 106.37 90.00
Space group C2/c (No. 15)
Asymmetric unit:
Mg (0.000, 0.167, 0.250)
Cu (0.000, 0.391, 0.750)
H (0.081, 0.425, 0.135)
H (0.156, 0.010, 0.561)
H (0.201, 0.268, 0.633)
Ir (0.204, 0.130, 0.834)

=====

Record 7
This record from the Alexandria database describes MgCuHIr2 after structural relaxation. The functional is PBE.

- energy relative to the lowest polymorph listed for this composition (eV/f.u.) = 0.04
- N(E_F) (states/eV/cell) = 4.5

a b c (Å): 3.879 3.879 4.031
angles (deg): 90.00 90.00 90.00
Space group P4/mmm (No. 123)
Asymmetric unit:
Mg (0.000, 0.000, 0.000)
Cu (0.500, 0.500, 0.000)
H (0.000, 0.000, 0.500)
Ir (0.000, 0.500, 0.500)

=====

Record 8
This record from the Alexandria database describes Mn2CuHIr after structural relaxation. The functional is PBE.

- energy relative to the lowest polymorph listed for this composition (eV/f.u.) = 0.00
- N(E_F) (states/eV/cell) = 3.6

a b c (Å): 3.710 3.710 3.823
angles (deg): 90.00 90.00 90.00
Space group P4/mmm (No. 123)
Asymmetric unit:
Mn (0.000, 0.500, 0.000)
Cu (0.000, 0.000, 0.500)
H (0.000, 0.000, 0.000)
Ir (0.500, 0.500, 0.500)

=====

Record 9
This record from the Alexandria database describes MnCu2HIr after structural relaxation. The functional is PBE.

- energy relative to the lowest polymorph listed for this composition (eV/f.u.) = 0.32
- N(E_F) (states/eV/cell) = 2.6

a b c (Å): 3.744 3.744 3.872
angles (deg): 90.00 90.00 90.00
Space group P4/mmm (No. 123)
Asymmetric unit:
Mn (0.000, 0.000, 0.000)
Cu (0.000, 0.500, 0.500)
H (0.000, 0.000, 0.500)
Ir (0.500, 0.500, 0.000)

=====

Record 10
This record from the Alexandria database describes Mn2CuHIr after structural relaxation. The functional is PBE.

- energy relative to the lowest polymorph listed for this composition (eV/f.u.) = 0.03
- N(E_F) (states/eV/cell) = 3.6

a b c (Å): 3.758 3.758 3.810
angles (deg): 90.00 90.00 90.00
Space group P4/mmm (No. 123)
Asymmetric unit:
Mn (0.000, 0.500, 0.000)
Cu (0.000, 0.000, 0.500)
H (0.500, 0.500, 0.000)
Ir (0.500, 0.500, 0.500)

=====

Record 11
This record from the Alexandria database describes MnCuHIr2 after structural relaxation. The functional is PBE.

- energy relative to the lowest polymorph listed for this composition (eV/f.u.) = 0.00
- N(E_F) (states/eV/cell) = 3.9

a b c (Å): 3.938 3.938 3.694
angles (deg): 90.00 90.00 90.00
Space group P4/mmm (No. 123)
Asymmetric unit:
Mn (0.000, 0.000, 0.000)
Cu (0.500, 0.500, 0.000)
H (0.500, 0.500, 0.500)
Ir (0.000, 0.500, 0.500)

=====

Record 12
This record from the Alexandria database describes MnCu2HIr after structural relaxation. The functional is PBE.

- energy relative to the lowest polymorph listed for this composition (eV/f.u.) = 0.00
- N(E_F) (states/eV/cell) = 1.6

a b c (Å): 3.838 3.838 3.798
angles (deg): 90.00 90.00 90.00
Space group P4/mmm (No. 123)
Asymmetric unit:
Mn (0.000, 0.000, 0.000)
Cu (0.000, 0.500, 0.500)
H (0.500, 0.500, 0.500)
Ir (0.500, 0.500, 0.000)

=====

Record 13
This record from the Alexandria database describes MnCuHIr2 after structural relaxation. The functional is PBE.

- energy relative to the lowest polymorph listed for this composition (eV/f.u.) = 0.07
- N(E_F) (states/eV/cell) = 4.7

a b c (Å): 3.901 3.901 3.763
angles (deg): 90.00 90.00 90.00
Space group P4/mmm (No. 123)
Asymmetric unit:
Mn (0.000, 0.000, 0.000)
Cu (0.500, 0.500, 0.000)
H (0.000, 0.000, 0.500)
Ir (0.000, 0.500, 0.500)

=====

Record 14
This record from the Alexandria database describes Na2CuH6Ir after structural relaxation. The functional is PBE.

- energy (eV per atom) = -3.835

a b c (Å): 5.1888 5.1888 4.9983
angles (deg): 90.00 90.00 120.00
Space group P-3m1 (No. 164)
Asymmetric unit:
Na (0.3333, 0.6667, 0.3262)
Cu (0.0000, 0.0000, 0.0000)
H (0.1500, 0.3001, 0.7058)
Ir (0.0000, 0.0000, 0.5000)

=====

Record 15
This record from the Alexandria database describes Nb2CuHIr after structural relaxation. The functional is PBE.

- energy relative to the lowest polymorph listed for this composition (eV/f.u.) = 0.21
- N(E_F) (states/eV/cell) = 3.5

a b c (Å): 4.075 4.075 3.952
angles (deg): 90.00 90.00 90.00
Space group P4/mmm (No. 123)
Asymmetric unit:
Nb (0.000, 0.500, 0.000)
Cu (0.000, 0.000, 0.500)
H (0.500, 0.500, 0.000)
Ir (0.500, 0.500, 0.500)

=====

Record 16
This record from the Alexandria database describes Nb2CuHIr after structural relaxation. The functional is PBE.

- energy relative to the lowest polymorph listed for this composition (eV/f.u.) = 0.00
- N(E_F) (states/eV/cell) = 3.8

a b c (Å): 4.053 4.053 3.953
angles (deg): 90.00 90.00 90.00
Space group P4/mmm (No. 123)
Asymmetric unit:
Nb (0.000, 0.500, 0.000)
Cu (0.000, 0.000, 0.500)
H (0.000, 0.000, 0.000)
Ir (0.500, 0.500, 0.500)

=====

Record 17
This record from the Alexandria database describes NdCuH8Ir2 after structural relaxation. The functional is PBE.

- N(E_F) (states/eV/cell) = 4.3
- energy (eV per atom) = -4.573

a b c (Å): 4.7422 4.7422 16.6030
angles (deg): 90.00 90.00 120.00
Space group R-3 (No. 148, hexagonal axes)
Asymmetric unit:
Nd (0.0000, 0.0000, 0.0000)
Cu (0.0000, 0.0000, 0.5000)
H (0.0000, 0.0000, 0.3116)
H (0.0104, 0.6518, 0.7796)
Ir (0.0000, 0.0000, 0.2125)

=====

Record 18
This record from the Alexandria database describes Cu2NiHIr after structural relaxation. The functional is PBE.

- N(E_F) (states/eV/cell) = 6.1
- energy (eV per atom) = -5.077

a b c (Å): 3.761 3.761 3.725
angles (deg): 90.00 90.00 90.00
Space group P4/mmm (No. 123)
Asymmetric unit:
Cu (0.000, 0.500, 0.000)
Ni (0.000, 0.000, 0.500)
H (0.500, 0.500, 0.000)
Ir (0.500, 0.500, 0.500)

=====

Record 19
This record from the Alexandria database describes CuNi2HIr after structural relaxation. The functional is PBE.

- energy relative to the lowest polymorph listed for this composition (eV/f.u.) = 0.28
- N(E_F) (states/eV/cell) = 6.9

a b c (Å): 3.642 3.642 3.806
angles (deg): 90.00 90.00 90.00
Space group P4/mmm (No. 123)
Asymmetric unit:
Cu (0.000, 0.000, 0.000)
Ni (0.000, 0.500, 0.500)
H (0.000, 0.000, 0.500)
Ir (0.500, 0.500, 0.000)

=====

Record 20
This record from the Alexandria database describes CuNi2HIr after structural relaxation. The functional is PBE.

- energy relative to the lowest polymorph listed for this composition (eV/f.u.) = 0.00
- N(E_F) (states/eV/cell) = 6.2

a b c (Å): 3.689 3.689 3.768
angles (deg): 90.00 90.00 90.00
Space group P4/mmm (No. 123)
Asymmetric unit:
Cu (0.000, 0.000, 0.000)
Ni (0.000, 0.500, 0.500)
H (0.500, 0.500, 0.500)
Ir (0.500, 0.500, 0.000)